Version 1
Compound: Ti2Te2Br
Source: Alexandria via LeMat-Bulk
Functional: GGA-PBE
Structure: relaxed

The space group is P4/mbm (No. 127) and the conventional cell measures 7.898, 7.898 and 3.616 Å, with angles of 90.00, 90.00 and 90.00 degrees. The distinct sites, in fractional coordinates, are Ti at (0.128, 0.372, 0.000), Te at (0.149, 0.649, 0.500) and Br at (0.000, 0.000, 0.000).

The theoretical density comes out at 6.3 g cm⁻³. As for the total moment: 0.0 μB per formula unit.



Version 2
Compound: Ti2Te2Br
Source: Alexandria via LeMat-Bulk
Functional: GGA-PBE
Structure: relaxed

The space group is I4/mmm (No. 139) and the conventional cell measures 3.782, 3.782 and 16.314 Å, with angles of 90.00, 90.00 and 90.00 degrees. The distinct sites, in fractional coordinates, are Ti at (0.000, 0.000, 0.190), Te at (0.000, 0.000, 0.361) and Br at (0.000, 0.000, 0.000).

The theoretical density comes out at 6.1 g cm⁻³. As for the total moment: 0.0 μB per formula unit.



Stability verdict: version 2, ahead by 0.083 eV/atom



Version 1
Compound: TiTeBr2
Source: Alexandria via LeMat-Bulk
Functional: GGA-PBE
Structure: relaxed

The space group is Fm-3m (No. 225) and the conventional cell measures 7.192, 7.192 and 7.192 Å, with angles of 90.00, 90.00 and 90.00 degrees. The distinct sites, in fractional coordinates, are Ti at (0.000, 0.000, 0.000), Te at (0.000, 0.000, 0.500) and Br at (0.250, 0.250, 0.250).

The theoretical density comes out at 6.0 g cm⁻³. As for the total moment: 0.0 μB per formula unit.



Version 2
Compound: TiTeBr2
Source: Alexandria via LeMat-Bulk
Functional: GGA-PBE
Structure: relaxed

The space group is R-3m (No. 166, hexagonal axes) and the conventional cell measures 3.4383, 3.4383 and 39.3688 Å, with angles of 90.00, 90.00 and 120.00 degrees. The distinct sites, in fractional coordinates, are Ti at (0.0000, 0.0000, 0.0000), Te at (0.0000, 0.0000, 0.5000) and Br at (0.0000, 0.0000, 0.0592).

The theoretical density comes out at 4.1 g cm⁻³. As for the total moment: 0.3 μB per formula unit.



Stability verdict: version 2, ahead by 0.287 eV/atom



Version 1
Compound: TiTeBr2
Source: Alexandria via LeMat-Bulk
Functional: GGA-PBE
Structure: relaxed

The space group is R-3m (No. 166, hexagonal axes) and the conventional cell measures 3.3812, 3.3812 and 34.8098 Å, with angles of 90.00, 90.00 and 120.00 degrees. The distinct sites, in fractional coordinates, are Ti at (0.0000, 0.0000, 0.0000), Te at (0.0000, 0.0000, 0.5000) and Br at (0.0000, 0.0000, 0.3830).

The theoretical density comes out at 4.8 g cm⁻³. As for the total moment: 0.0 μB per formula unit.



Version 2
Compound: TiTeBr2
Source: Alexandria via LeMat-Bulk
Functional: GGA-PBE
Structure: relaxed

The space group is I-42d (No. 122) and the conventional cell measures 7.548, 7.548 and 9.758 Å, with angles of 90.00, 90.00 and 90.00 degrees. The distinct sites, in fractional coordinates, are Ti at (0.000, 0.000, 0.000), Te at (0.000, 0.000, 0.500) and Br at (0.132, 0.250, 0.125).

The theoretical density comes out at 4.0 g cm⁻³. As for the total moment: 0.3 μB per formula unit.



Stability verdict: version 1, ahead by 0.596 eV/atom



Version 1
Compound: TlTe2Br
Source: Alexandria via LeMat-Bulk
Functional: GGA-PBE
Structure: relaxed

The space group is R-3m (No. 166, hexagonal axes) and the conventional cell measures 3.7303, 3.7303 and 32.0547 Å, with angles of 90.00, 90.00 and 120.00 degrees. The distinct sites, in fractional coordinates, are Tl at (0.0000, 0.0000, 0.0000), Te at (0.0000, 0.0000, 0.4137) and Br at (0.0000, 0.0000, 0.5000).

The theoretical density comes out at 7.0 g cm⁻³. As for the total moment: 0.0 μB per formula unit.



Version 2
Compound: TlTe2Br
Source: Alexandria via LeMat-Bulk
Functional: GGA-PBE
Structure: relaxed

The space group is P2/m (No. 10) and the conventional cell measures 3.180, 7.095 and 6.025 Å, with angles of 90.00, 92.00 and 90.00 degrees. The distinct sites, in fractional coordinates, are Tl at (0.000, 0.000, 0.000), Te at (0.462, 0.500, 0.759) and Br at (0.500, 0.000, 0.500).

The theoretical density comes out at 6.6 g cm⁻³. As for the total moment: 0.0 μB per formula unit.



Version 3
Compound: TlTe2Br
Source: Alexandria via LeMat-Bulk
Functional: GGA-PBE
Structure: relaxed

The space group is I-42d (No. 122) and the conventional cell measures 7.806, 7.806 and 10.554 Å, with angles of 90.00, 90.00 and 90.00 degrees. The distinct sites, in fractional coordinates, are Tl at (0.000, 0.000, 0.000), Te at (0.227, 0.250, 0.125) and Br at (0.000, 0.000, 0.500).

The theoretical density comes out at 5.6 g cm⁻³. As for the total moment: 0.0 μB per formula unit.



Stability verdict: version 2, ahead by 0.199 eV/atom



Version 1
Compound: TlTe2Br
Source: Alexandria via LeMat-Bulk
Functional: GGA-PBE
Structure: relaxed

The space group is Pm (No. 6) and the conventional cell measures 3.848, 4.724 and 8.591 Å, with angles of 90.00, 99.34 and 90.00 degrees. The distinct sites, in fractional coordinates, are Tl at (0.000, 0.000, 0.000), Te at (0.297, 0.000, 0.472), Te at (0.351, 0.500, 0.647) and Br at (0.553, 0.500, 0.136).

The theoretical density comes out at 5.8 g cm⁻³. As for the total moment: 0.0 μB per formula unit.



Version 2
Compound: TlTe2Br
Source: Alexandria via LeMat-Bulk
Functional: GGA-PBE
Structure: relaxed

The space group is R-3m (No. 166, hexagonal axes) and the conventional cell measures 3.6393, 3.6393 and 30.6518 Å, with angles of 90.00, 90.00 and 120.00 degrees. The distinct sites, in fractional coordinates, are Tl at (0.0000, 0.0000, 0.0000), Te at (0.0000, 0.0000, 0.2490) and Br at (0.0000, 0.0000, 0.5000).

The theoretical density comes out at 7.6 g cm⁻³. As for the total moment: 0.0 μB per formula unit.



Version 3
Compound: TlTe2Br
Source: Alexandria via LeMat-Bulk
Functional: GGA-PBE
Structure: relaxed

The space group is Cm (No. 8) and the conventional cell measures 5.944, 5.886 and 8.819 Å, with angles of 90.00, 104.94 and 90.00 degrees. The distinct sites, in fractional coordinates, are Tl at (0.000, 0.000, 0.000), Te at (0.435, 0.500, 0.485), Te at (0.438, 0.000, 0.383) and Br at (0.447, 0.000, 0.858).

The theoretical density comes out at 6.0 g cm⁻³. As for the total moment: 0.0 μB per formula unit.



Version 4
Compound: TlTe2Br
Source: Alexandria via LeMat-Bulk
Functional: GGA-PBE
Structure: relaxed

The space group is F-43m (No. 216) and the conventional cell measures 7.826, 7.826 and 7.826 Å, with angles of 90.00, 90.00 and 90.00 degrees. The distinct sites, in fractional coordinates, are Tl at (0.000, 0.000, 0.000), Te at (0.000, 0.000, 0.500), Te at (0.250, 0.250, 0.250) and Br at (0.250, 0.250, 0.750).

The theoretical density comes out at 7.5 g cm⁻³. As for the total moment: 0.0 μB per formula unit.



Stability verdict: version 3, ahead by 0.063 eV/atom



Version 1
Compound: TlTe2Br
Source: Alexandria via LeMat-Bulk
Functional: GGA-PBE
Structure: relaxed

The space group is P4/mmm (No. 123) and the conventional cell measures 4.373, 4.373 and 7.965 Å, with angles of 90.00, 90.00 and 90.00 degrees. The distinct sites, in fractional coordinates, are Tl at (0.000, 0.000, 0.000), Te at (0.000, 0.500, 0.500) and Br at (0.500, 0.500, 0.000).

The theoretical density comes out at 5.9 g cm⁻³. As for the total moment: 0.0 μB per formula unit.



Version 2
Compound: TlTe2Br
Source: Alexandria via LeMat-Bulk
Functional: GGA-PBE
Structure: relaxed

The space group is P4/mmm (No. 123) and the conventional cell measures 4.859, 4.859 and 6.538 Å, with angles of 90.00, 90.00 and 90.00 degrees. The distinct sites, in fractional coordinates, are Tl at (0.000, 0.000, 0.000), Te at (0.500, 0.500, 0.203) and Br at (0.000, 0.000, 0.500).

The theoretical density comes out at 5.8 g cm⁻³. As for the total moment: 1.4 μB per formula unit.



Stability verdict: version 1, ahead by 0.247 eV/atom



Version 1
Compound: TlTe2Br
Source: Alexandria via LeMat-Bulk
Functional: GGA-PBE
Structure: relaxed

The space group is Cmmm (No. 65) and the conventional cell measures 4.358, 4.535 and 13.389 Å, with angles of 90.00, 90.00 and 90.00 degrees. The distinct sites, in fractional coordinates, are Tl at (0.000, 0.000, 0.000), Te at (0.000, 0.500, 0.218) and Br at (0.000, 0.000, 0.500).

The theoretical density comes out at 6.8 g cm⁻³. As for the total moment: 0.0 μB per formula unit.



Version 2
Compound: TlTe2Br
Source: Alexandria via LeMat-Bulk
Functional: GGA-PBE
Structure: relaxed

The space group is C2/m (No. 12) and the conventional cell measures 6.132, 14.045 and 3.128 Å, with angles of 90.00, 90.33 and 90.00 degrees. The distinct sites, in fractional coordinates, are Tl at (0.000, 0.000, 0.000), Te at (0.250, 0.250, 0.500) and Br at (0.000, 0.500, 0.000).

The theoretical density comes out at 6.7 g cm⁻³. As for the total moment: 0.1 μB per formula unit.



Version 3
Compound: TlTe2Br
Source: Alexandria via LeMat-Bulk
Functional: GGA-PBE
Structure: relaxed

The space group is R3m (No. 160, hexagonal axes) and the conventional cell measures 3.9181, 3.9181 and 30.3423 Å, with angles of 90.00, 90.00 and 120.00 degrees. The distinct sites, in fractional coordinates, are Tl at (0.0000, 0.0000, 0.0000), Te at (0.0000, 0.0000, 0.5029), Te at (0.0000, 0.0000, 0.7686) and Br at (0.0000, 0.0000, 0.2658).

The theoretical density comes out at 6.7 g cm⁻³. As for the total moment: 0.0 μB per formula unit.



Version 4
Compound: TlTe2Br
Source: Alexandria via LeMat-Bulk
Functional: GGA-PBE
Structure: relaxed

The space group is P4mm (No. 99) and the conventional cell measures 4.121, 4.121 and 8.999 Å, with angles of 90.00, 90.00 and 90.00 degrees. The distinct sites, in fractional coordinates, are Tl at (0.000, 0.000, 0.000), Te at (0.000, 0.000, 0.527), Te at (0.500, 0.500, 0.624) and Br at (0.500, 0.500, 0.148).

The theoretical density comes out at 5.9 g cm⁻³. As for the total moment: 0.0 μB per formula unit.



Stability verdict: version 4, ahead by 0.237 eV/atom



Version 1
Compound: TlTe2Br
Source: Alexandria via LeMat-Bulk
Functional: GGA-PBE
Structure: relaxed

The space group is Imm2 (No. 44) and the conventional cell measures 4.174, 6.628 and 11.627 Å, with angles of 90.00, 90.00 and 90.00 degrees. The distinct sites, in fractional coordinates, are Tl at (0.000, 0.000, 0.000), Te at (0.000, 0.000, 0.408), Te at (0.000, 0.500, 0.078) and Br at (0.000, 0.500, 0.707).

The theoretical density comes out at 5.6 g cm⁻³. As for the total moment: 0.0 μB per formula unit.



Version 2
Compound: TlTe2Br
Source: Alexandria via LeMat-Bulk
Functional: GGA-PBE
Structure: relaxed

The space group is Fm-3m (No. 225) and the conventional cell measures 7.735, 7.735 and 7.735 Å, with angles of 90.00, 90.00 and 90.00 degrees. The distinct sites, in fractional coordinates, are Tl at (0.000, 0.000, 0.000), Te at (0.250, 0.250, 0.250) and Br at (0.000, 0.000, 0.500).

The theoretical density comes out at 7.7 g cm⁻³. As for the total moment: 0.0 μB per formula unit.



Stability verdict: version 1, ahead by 0.525 eV/atom



Version 1
Compound: Tl2Te2Br
Source: Alexandria via LeMat-Bulk
Functional: GGA-PBE
Structure: relaxed

The space group is P4/mbm (No. 127) and the conventional cell measures 8.748, 8.748 and 4.210 Å, with angles of 90.00, 90.00 and 90.00 degrees. The distinct sites, in fractional coordinates, are Tl at (0.148, 0.352, 0.000), Te at (0.159, 0.659, 0.500) and Br at (0.000, 0.000, 0.500).

The theoretical density comes out at 7.7 g cm⁻³. As for the total moment: 0.0 μB per formula unit.



Version 2
Compound: Tl2Te2Br
Source: Alexandria via LeMat-Bulk
Functional: GGA-PBE
Structure: relaxed

The space group is P4/mbm (No. 127) and the conventional cell measures 8.852, 8.852 and 5.155 Å, with angles of 90.00, 90.00 and 90.00 degrees. The distinct sites, in fractional coordinates, are Tl at (0.192, 0.308, 0.000), Te at (0.108, 0.608, 0.500) and Br at (0.000, 0.000, 0.000).

The theoretical density comes out at 6.1 g cm⁻³. As for the total moment: 1.0 μB per formula unit.



Stability verdict: version 2, ahead by 0.123 eV/atom



Version 1
Compound: Tl5Te2Br
Source: Alexandria via LeMat-Bulk
Functional: GGA-PBE
Structure: relaxed

The space group is Pnma (No. 62) and the conventional cell measures 13.141, 9.932 and 8.964 Å, with angles of 90.00, 90.00 and 90.00 degrees. The distinct sites, in fractional coordinates, are Tl at (0.013, 0.250, 0.012), Tl at (0.101, 0.558, 0.670), Tl at (0.174, 0.250, 0.344), Tl at (0.213, 0.750, 0.284), Te at (0.188, 0.510, 0.008) and Br at (0.037, 0.250, 0.649).

The theoretical density comes out at 7.7 g cm⁻³. As for the total moment: 0.0 μB per formula unit.



Version 2
Compound: Tl5Te2Br
Source: Alexandria via LeMat-Bulk
Functional: GGA-PBE
Structure: relaxed

The space group is I4/mcm (No. 140) and the conventional cell measures 9.172, 9.172 and 13.291 Å, with angles of 90.00, 90.00 and 90.00 degrees. The distinct sites, in fractional coordinates, are Tl at (0.000, 0.000, 0.000), Tl at (0.147, 0.353, 0.150), Te at (0.156, 0.344, 0.500) and Br at (0.000, 0.000, 0.250).

The theoretical density comes out at 8.1 g cm⁻³. As for the total moment: 0.0 μB per formula unit.



Stability verdict: version 2, ahead by 0.042 eV/atom